Computed, not measured: GdHRh after structural relaxation at the PBE-GGA level of DFT.

Structure (POSCAR):
```
GdHRh
1.0
4.9444 0.0000 0.0000
0.0000 3.4718 0.0000
0.0000 1.7359 5.4737
Rh H Gd
2 2 2
Cartesian
3.7083 3.4718 1.2662 Rh
1.2361 1.7359 4.2075 Rh
0.0000 0.0000 0.0000 H
2.4722 0.0000 0.0000 H
1.2361 1.7359 1.4144 Gd
3.7083 3.4718 4.0593 Gd
```

- energy relative to the lowest polymorph listed for this composition (kcal/mol of atoms) = 0.000
- symmetry = Cmcm, No. 63
- final energy (eV/cell) = -52.9
- total magnetic moment (μB per formula unit) = 7.060